No. 1
A plane-wave DFT calculation with PBE was carried out for a relaxed structure of Sm8ErAl2.

Calculated values
Crystal system: monoclinic
Density of states at the Fermi level: 1.390 states/eV/atom
E: -0.16622 Ha/atom
Formation energy: 0.00 eV per atom
Symmetry: C2/m, No. 12

Cell lengths 5.710, 8.685, 8.685 Å; angles 118.57, 102.13, 102.13 degrees
Element x y z (fractional)
Sm  0.888  0.676  0.912
Sm  0.112  0.324  0.088
Sm  0.112  0.088  0.324
Sm  0.500  0.776  0.224
Sm  0.294  0.595  0.595
Sm  0.706  0.405  0.405
Sm  0.888  0.912  0.676
Sm  0.500  0.224  0.776
Al  0.000  0.307  0.693
Al  0.000  0.693  0.307
Er  0.500  0.000  0.000


No. 2
A plane-wave DFT calculation with PBE was carried out for a relaxed structure of K2Cu2IrO6.

Calculated values
Crystal system: trigonal
Uncorrected formation energy: -10.09 eV/f.u.
Density of states at the Fermi level: 0.748 states/eV/atom
E: -0.19740 Ha/atom
Symmetry: R-3m, No. 166

Cell lengths 5.817, 5.817, 6.549 Å; angles 63.63, 63.63, 60.00 degrees
Element x y z (fractional)
Ir  0.000  0.000  0.000
O  0.777  0.777  0.210
O  0.223  0.223  0.790
O  0.777  0.236  0.210
O  0.236  0.777  0.210
O  0.223  0.764  0.790
O  0.764  0.223  0.790
Cu  0.605  0.605  0.186
Cu  0.395  0.395  0.814
K  0.790  0.790  0.629
K  0.210  0.210  0.371


No. 3
A plane-wave DFT calculation with PBE was carried out for a relaxed structure of LaZnI2N.

Calculated values
Crystal system: tetragonal
Uncorrected formation energy: -0.85 eV/f.u.
Energy above the most stable polymorph in this dataset: 0 meV per atom
Density of states at the Fermi level: 1.559 states/eV/atom
E: -0.13580 Ha/atom
Symmetry: P4/mmm, No. 123

Cell lengths 6.528, 6.528, 4.175 Å; angles 90.00, 90.00, 90.00 degrees
Element x y z (fractional)
I  0.500  0.000  0.000
I  0.000  0.500  0.000
N  0.000  0.000  0.500
Zn  0.500  0.500  0.500
La  0.000  0.000  0.000


No. 4
A plane-wave DFT calculation with PBE was carried out for a relaxed structure of RePt2Pb.

Calculated values
Crystal system: tetragonal
Density of states at the Fermi level: 1.089 states/eV/atom
E: -0.24070 Ha/atom
Formation energy: 0.51 eV per atom
Symmetry: I4/mmm, No. 139

Cell lengths 5.015, 5.015, 5.015 Å; angles 131.38, 131.38, 71.21 degrees
Element x y z (fractional)
Pb  0.750  0.250  0.500
Re  0.250  0.750  0.500
Pt  0.500  0.500  0.000
Pt  0.000  0.000  0.000